A plane-wave DFT calculation with GGA+U was carried out for an optimized crystal structure of ZrPaCoO6.

Cell lengths 5.6456, 5.6456, 8.6536 Å; angles 90.00, 90.00, 120.00 degrees
Space group P-31c (No. 163)
Asymmetric unit:
Zr (0.3333, 0.6667, 0.2500) [2 per cell]
Pa (0.3333, 0.6667, 0.7500) [2 per cell]
Co (0.0000, 0.0000, 0.0000) [2 per cell]
O (0.0074, 0.3382, 0.1283) [12 per cell]

Results
calculated total energy = -8.3345 eV/atom